[1]
Compound: La2Tb2DyHo2
Source: Alexandria
Functional: PBE
Structure: optimized geometry

Cell lengths 11.405, 5.102, 8.058 Å; angles 90.00, 98.32, 90.00 degrees
Space group C2/m (No. 12)
Asymmetric unit:
La: 0.142 0.000 0.425 [4 per cell]
Tb: 0.071 0.500 0.720 [4 per cell]
Dy: 0.000 0.000 0.000 [2 per cell]
Ho: 0.216 0.500 0.138 [4 per cell]

Values from the calculation:
electronic total energy = -65.32 eV for the cell shown
DFT formation energy = 0.031 eV per atom
magnetic moment = 0.000 μB/atom

[2]
Compound: LaTbDyHo3
Source: Alexandria
Functional: PBE
Structure: optimized geometry

Cell lengths 19.747, 5.623, 7.084 Å; angles 90.00, 90.58, 90.00 degrees
Space group C2/m (No. 12)
Asymmetric unit:
La: 0.144 0.000 0.031 [4 per cell]
Tb: 0.150 0.000 0.456 [4 per cell]
Dy: 0.054 0.500 0.276 [4 per cell]
Ho: 0.024 0.000 0.732 [4 per cell]
Ho: 0.163 0.500 0.727 [4 per cell]
Ho: 0.221 0.500 0.241 [4 per cell]

Values from the calculation:
electronic total energy = -106.47 eV for the cell shown
DFT formation energy = 0.213 eV per atom
magnetic moment = 0.000 μB/atom

[3]
Compound: La2Tb3Dy6Ho
Source: Alexandria
Functional: PBE
Structure: optimized geometry

Cell lengths 6.206, 10.746, 11.848 Å; angles 90.00, 100.03, 90.00 degrees
Space group C2/m (No. 12)
Asymmetric unit:
La: 0.000 0.167 0.000 [4 per cell]
Tb: 0.000 0.000 0.500 [2 per cell]
Tb: 0.000 0.334 0.500 [4 per cell]
Dy: 0.247 0.500 0.746 [4 per cell]
Dy: 0.249 0.166 0.746 [8 per cell]
Ho: 0.000 0.500 0.000 [2 per cell]

Values from the calculation:
electronic total energy = -111.41 eV for the cell shown
DFT formation energy = 0.019 eV per atom
magnetic moment = 0.000 μB/atom

[4]
Compound: LaTbDy5Ho2
Source: Alexandria
Functional: PBE
Structure: optimized geometry

Cell lengths 9.019, 9.019, 14.620 Å; angles 90.00, 90.00, 90.00 degrees
Space group I4/mcm (No. 140)
Asymmetric unit:
La: 0.000 0.000 0.250 [4 per cell]
Tb: 0.000 0.500 0.250 [4 per cell]
Dy: 0.000 0.000 0.000 [4 per cell]
Dy: 0.203 0.297 0.129 [16 per cell]
Ho: 0.112 0.388 0.500 [8 per cell]

Values from the calculation:
electronic total energy = -156.54 eV for the cell shown
DFT formation energy = 0.288 eV per atom
magnetic moment = 0.000 μB/atom